DFT (GGA-PBE) results for a relaxed structure of CaMnAl2.

Lattice parameters (Å, degrees): 3.0939 3.0939 28.4029 90.00 90.00 120.00
With the nearest neighbours (Å) after each atom.
Space group R3m (No. 160, hexagonal axes)
Inequivalent atoms, fractional coordinates:
Ca: 0.0000 0.0000 0.0000 x3  3 Mn 3.08, 6 Ca 3.09, 3 Al 3.25
Mn: 0.0000 0.0000 0.7552 x3  3 Al 2.68
Al: 0.0000 0.0000 0.2377 x3  9 Al 2.86-3.09
Al: 0.0000 0.0000 0.4924 x3  3 Mn 2.68, 3 Al 2.86

## Properties
The calculation puts the formation energy at 30.9 kJ per mole of atoms. For the density, the calculation gives 3.2 g/cm³. Its energy is -4.344 eV per atom.